Record 1
A relaxed structure of PrErGa5, computed with PBE-GGA.

Results
V ... 22.53 Å³/atom
Electronic total energy ... -3.88 eV per atom

Cell lengths 4.309, 4.309, 8.496 Å; angles 90.00, 90.00, 90.00 degrees
Element x y z (fractional)
1 Pr 0.000 0.000 0.000
2 Er 0.000 0.000 0.500
3 Ga 0.000 0.500 0.737
4 Ga 0.000 0.500 0.263
5 Ga 0.500 0.000 0.737
6 Ga 0.500 0.500 0.000
7 Ga 0.500 0.000 0.263


Record 2
A relaxed structure of PuSiPb, computed with PBE-GGA.

Results
V ... 26.54 Å³/atom
Energy above the lowest structure with this stoichiometry ... 0 meV per atom
Electronic total energy ... -7.72 eV per atom

Cell lengths 4.829, 4.829, 4.829 Å; angles 60.00, 60.00, 60.00 degrees
Element x y z (fractional)
1 Si 0.000 0.000 0.000
2 Pb 0.250 0.250 0.250
3 Pu 0.750 0.750 0.750


Record 3
A relaxed structure of LiNpRe, computed with PBE-GGA.

Results
V ... 19.38 Å³/atom
Electronic total energy ... -8.23 eV per atom

Cell lengths 4.348, 4.348, 4.348 Å; angles 60.00, 60.00, 60.00 degrees
Element x y z (fractional)
1 Np 0.250 0.250 0.250
2 Li 0.750 0.750 0.750
3 Re 0.000 0.000 0.000


Record 4
A relaxed structure of MgAgSeO, computed with PBE-GGA.

Results
V ... 17.49 Å³/atom
Energy above the lowest structure with this stoichiometry ... 498 meV per atom
Electronic total energy ... -3.84 eV per atom

Cell lengths 3.518, 3.518, 11.302 Å; angles 90.00, 90.00, 90.00 degrees
Element x y z (fractional)
1 Mg 0.750 0.750 0.089
2 Mg 0.250 0.250 0.911
3 Ag 0.250 0.250 0.283
4 Ag 0.750 0.750 0.717
5 O 0.250 0.250 0.083
6 O 0.750 0.750 0.917
7 Se 0.750 0.250 0.500
8 Se 0.250 0.750 0.500